(1)
An optimized crystal structure of K2PaCoS5, computed with PBE.

a b c (Å): 4.014 9.679 13.360
angles (deg): 90.00 90.00 101.97
Last column: magnetic moment on the atom in μB.
Element x y z (fractional)
K  0.881  0.763  0.849  0.00
K  0.127  0.253  0.693  0.00
K  0.119  0.237  0.349  0.00
K  0.873  0.747  0.193  0.00
Pa  0.802  0.604  0.528  0.10
Pa  0.198  0.396  0.028  0.10
Co  0.577  0.154  0.913  0.81
Co  0.423  0.846  0.413  0.81
S  0.329  0.659  0.021  0.01
S  0.693  0.387  0.893  0.02
S  0.509  0.019  0.791  0.08
S  0.315  0.630  0.658  0.01
S  0.943  0.886  0.477  0.01
S  0.671  0.341  0.521  0.01
S  0.307  0.613  0.393  0.02
S  0.491  0.981  0.291  0.08
S  0.685  0.370  0.158  0.01
S  0.057  0.114  0.977  0.01

Results
**Formation energy (no corrections)**: -9.8 eV/f.u.
**Crystal system**: orthorhombic
**D(E_F)**: 8.35 states/eV/cell
**Space-group type**: Cmc2_1 (36)
**Energy**: -5.48 eV/atom

***

(2)
An optimized crystal structure of K4Pa3CoSe8, computed with PBE.

a b c (Å): 8.213 9.134 8.219
angles (deg): 116.76 119.98 90.00
Last column: magnetic moment on the atom in μB.
Element x y z (fractional)
K  0.500  0.000  0.000  0.01
K  0.500  0.000  0.500  0.00
K  0.000  0.000  0.000  0.00
K  0.000  0.000  0.500  0.00
Pa  0.500  0.500  0.000  1.12
Pa  0.500  0.500  0.500  1.12
Pa  0.000  0.500  0.500  1.12
Co  0.000  0.500  0.000  1.91
Se  0.228  0.701  0.973  -0.01
Se  0.229  0.702  0.457  -0.01
Se  0.262  0.286  0.524  -0.03
Se  0.745  0.701  0.973  -0.01
Se  0.255  0.299  0.027  -0.01
Se  0.738  0.714  0.476  -0.03
Se  0.771  0.298  0.543  -0.01
Se  0.772  0.299  0.027  -0.01

Results
**Formation energy (no corrections)**: -18.4 eV/f.u.
**Crystal system**: monoclinic
**D(E_F)**: 19.01 states/eV/cell
**Space-group type**: C2/m (12)
**Energy**: -5.39 eV/atom

***

(3)
An optimized crystal structure of K2Pa2CoSe6, computed with PBE.

a b c (Å): 6.904 6.904 8.299
angles (deg): 98.03 98.03 119.66
Last column: magnetic moment on the atom in μB.
Element x y z (fractional)
K  0.831  0.169  0.000  0.00
K  0.169  0.831  0.000  0.00
Pa  0.336  0.664  0.500  0.52
Pa  0.664  0.336  0.500  0.52
Co  0.000  0.000  0.500  1.84
Se  0.751  0.751  0.698  0.00
Se  0.066  0.388  0.696  0.00
Se  0.249  0.249  0.302  0.00
Se  0.388  0.066  0.696  0.00
Se  0.934  0.612  0.304  0.00
Se  0.612  0.934  0.304  0.00

Results
**Formation energy (no corrections)**: -12.3 eV/f.u.
**Crystal system**: monoclinic
**D(E_F)**: 7.03 states/eV/cell
**Space-group type**: C2/m (12)
**Energy**: -5.59 eV/atom

***

(4)
An optimized crystal structure of KPaCoSe4, computed with PBE.

a b c (Å): 6.889 5.964 9.281
angles (deg): 90.00 106.78 90.00
Last column: magnetic moment on the atom in μB.
Element x y z (fractional)
K  0.749  0.750  0.948  0.00
K  0.251  0.250  0.052  0.00
Pa  0.734  0.750  0.447  -0.12
Pa  0.266  0.250  0.553  -0.12
Co  0.249  0.750  0.339  1.53
Co  0.751  0.250  0.661  1.53
Se  0.015  0.507  0.705  0.02
Se  0.985  0.007  0.295  0.02
Se  0.985  0.493  0.295  0.02
Se  0.015  0.993  0.705  0.02
Se  0.445  0.750  0.171  0.09
Se  0.555  0.250  0.829  0.09
Se  0.427  0.750  0.594  0.06
Se  0.573  0.250  0.406  0.06

Results
**Formation energy (no corrections)**: -6.9 eV/f.u.
**Crystal system**: monoclinic
**D(E_F)**: 6.82 states/eV/cell
**Space-group type**: P2_1/m (11)
**Energy**: -5.51 eV/atom